UMnSi2Os | the Alexandria database | PBE | relaxed; formation energy from raw total energies = -436 meV per atom; space group = I-4m2; total magnetization = 2.8 μB per formula unit
1.0
-1.686 -2.185 -2.950
3.146 -2.532 0.078
-3.031 -0.396 4.791
Os U Si Mn
1 1 2 1
direct
0.750 0.250 0.500 Os
0.000 0.000 0.000 U
0.379 0.379 0.757 Si
0.621 0.621 0.243 Si
0.250 0.750 0.500 Mn